This record from the Alexandria database describes crystalline Tl3MoF8 at its relaxed geometry. The functional is PBE+U.

a b c (Å): 7.0355 7.0355 7.0355
angles (deg): 124.77 124.77 81.91
Closest atoms and distances in Å follow each position.
Positions (direct):
Tl 0.0000 0.0000 0.0000  4 F 2.74
Tl 0.2500 0.7500 0.5000  8 F 2.75-3.07
Tl 0.7500 0.2500 0.5000  8 F 2.75-3.07
Mo 0.5000 0.5000 0.0000  8 F 2.03-2.06
F 0.2146 0.4786 0.0000  1 Mo 2.03
F 0.2269 0.2269 0.5772  1 Mo 2.06
F 0.3503 0.7731 0.0000  1 Mo 2.06
F 0.4786 0.2146 0.0000  1 Mo 2.03
F 0.5214 0.5214 0.7360  1 Mo 2.03
F 0.6497 0.6497 0.4228  1 Mo 2.06
F 0.7731 0.3503 0.0000  1 Mo 2.06
F 0.7854 0.7854 0.2640  1 Mo 2.03

Computed properties:
Calculated total energy   -4.5634 eV per atom
DOS at the Fermi energy   0.0 states/eV/cell